[1]
Compound: Tb8Pm4Sm
Source: the Alexandria database
Functional: GGA-PBE
Structure: optimized geometry

E_tot	-58.31	eV for the cell shown
Fermi-level density of states	15.1	states/eV/f.u.

a = 10.0360 Å, b = 10.0360 Å, c = 10.0360 Å
α = 43.32°, β = 43.32°, γ = 43.32°
Closest atoms and distances in Å follow each position.
Fractional positions:
Tb 0.1907 0.7496 0.7496  1 Sm 2.95, 2 Tb 3.27
Tb 0.2180 0.2180 0.2180  9 Tb 3.65-3.73, 3 Pm 3.80
Tb 0.2504 0.2504 0.8093  1 Sm 2.95, 2 Tb 3.27
Tb 0.2504 0.8093 0.2504  1 Sm 2.95, 2 Tb 3.27
Tb 0.7496 0.1907 0.7496  1 Sm 2.95, 2 Tb 3.27
Tb 0.7496 0.7496 0.1907  1 Sm 2.95, 2 Tb 3.27
Tb 0.7820 0.7820 0.7820  9 Tb 3.65-3.73, 3 Pm 3.80
Tb 0.8093 0.2504 0.2504  1 Sm 2.95, 2 Tb 3.27
Pm 0.0000 0.0000 0.0000  6 Tb 3.39, 6 Pm 3.70
Pm 0.0000 0.5000 0.5000  6 Tb 3.62-3.80, 6 Pm 3.70
Pm 0.5000 0.0000 0.5000  6 Tb 3.62-3.80, 6 Pm 3.70
Pm 0.5000 0.5000 0.0000  6 Tb 3.62-3.80, 6 Pm 3.70
Sm 0.5000 0.5000 0.5000  6 Tb 2.95

[2]
Compound: Ti3NiOs
Source: the Alexandria database
Functional: GGA-PBE
Structure: optimized geometry

E_tot	-37.95	eV for the cell shown
Fermi-level density of states	8.9	states/eV/f.u.

a = 4.4069 Å, b = 4.4069 Å, c = 4.4069 Å
α = 90.00°, β = 90.00°, γ = 90.00°
Closest atoms and distances in Å follow each position.
Fractional positions:
Ti 0.0000 0.0000 0.5000  2 Ni 2.20
Ti 0.0000 0.5000 0.0000  2 Ni 2.20
Ti 0.5000 0.0000 0.0000  2 Ni 2.20
Ni 0.0000 0.0000 0.0000  6 Ti 2.20
Os 0.5000 0.5000 0.5000  12 Ti 3.12

[3]
Compound: La2PuAg
Source: the Alexandria database
Functional: GGA-PBE
Structure: optimized geometry

offset from the most stable computed form	4	meV per atom
Fermi-level density of states	9.4	states/eV/f.u.

a = 5.6885 Å, b = 5.6885 Å, c = 3.5252 Å
α = 90.00°, β = 90.00°, γ = 90.00°
Closest atoms and distances in Å follow each position.
Fractional positions:
La 0.0000 0.5000 0.0000  4 Pu 3.35, 4 Ag 3.35, 2 La 3.53
La 0.5000 0.0000 0.0000  4 Pu 3.35, 4 Ag 3.35, 2 La 3.53
Pu 0.0000 0.0000 0.5000  8 La 3.35, 2 Pu 3.53
Ag 0.5000 0.5000 0.5000  8 La 3.35, 2 Ag 3.53

[4]
Compound: CeAgAsO5
Source: the Alexandria database
Functional: GGA-PBE
Structure: optimized geometry

ΔE_f (raw)	-1.840	eV/atom

a = 6.1413 Å, b = 6.1413 Å, c = 8.2436 Å
α = 108.06°, β = 108.06°, γ = 96.67°
Closest atoms and distances in Å follow each position.
Fractional positions:
Ce 0.0000 0.0000 0.0000  6 O 2.16-2.32
Ce 0.0000 0.0000 0.5000  6 O 2.16-2.32
Ag 0.3114 0.6886 0.7500  3 O 2.20-2.45
Ag 0.6886 0.3114 0.2500  3 O 2.20-2.45
As 0.3471 0.6529 0.2500  4 O 1.72-1.73
As 0.6529 0.3471 0.7500  4 O 1.72-1.73
O 0.0716 0.9284 0.7500  2 Ce 2.16, 1 Ag 2.20
O 0.2023 0.7233 0.4002  1 As 1.72
O 0.2767 0.7977 0.0998  1 As 1.72
O 0.2832 0.3525 0.1337  1 As 1.73
O 0.3525 0.2832 0.6337  1 As 1.73
O 0.6475 0.7168 0.3663  1 As 1.73
O 0.7168 0.6475 0.8663  1 As 1.73
O 0.7233 0.2023 0.9002  1 As 1.72
O 0.7977 0.2767 0.5998  1 As 1.72
O 0.9284 0.0716 0.2500  2 Ce 2.16, 1 Ag 2.20

[5]
Compound: Be2InPb
Source: the Alexandria database
Functional: GGA-PBE
Structure: optimized geometry

offset from the most stable computed form	411	meV per atom
Fermi-level density of states	2.9	states/eV/f.u.

a = 4.7801 Å, b = 4.7801 Å, c = 4.7801 Å
α = 60.00°, β = 60.00°, γ = 60.00°
Closest atoms and distances in Å follow each position.
Fractional positions:
Be 0.2500 0.2500 0.2500  4 In 2.93, 4 Pb 2.93
Be 0.7500 0.7500 0.7500  4 In 2.93, 4 Pb 2.93
In 0.0000 0.0000 0.0000  8 Be 2.93
Pb 0.5000 0.5000 0.5000  8 Be 2.93

[6]
Compound: Tb4Si6Rh7
Source: the Alexandria database
Functional: GGA-PBE
Structure: optimized geometry

ΔE_f (raw)	-1.027	eV/atom
Fermi-level density of states	9.1	states/eV/f.u.

a = 7.1960 Å, b = 7.1960 Å, c = 7.1960 Å
α = 109.47°, β = 109.47°, γ = 109.47°
Closest atoms and distances in Å follow each position.
Fractional positions:
Tb 0.0000 0.0000 0.5000  6 Rh 2.94, 6 Si 3.01
Tb 0.0000 0.5000 0.0000  6 Rh 2.94, 6 Si 3.01
Tb 0.5000 0.0000 0.0000  6 Rh 2.94, 6 Si 3.01
Tb 0.5000 0.5000 0.5000  6 Rh 2.94, 6 Si 3.01
Si 0.0000 0.3307 0.3307  5 Rh 2.51-2.75
Si 0.0000 0.6693 0.6693  5 Rh 2.51-2.75
Si 0.3307 0.0000 0.3307  5 Rh 2.51-2.75
Si 0.3307 0.3307 0.0000  5 Rh 2.51-2.75
Si 0.6693 0.0000 0.6693  5 Rh 2.51-2.75
Si 0.6693 0.6693 0.0000  5 Rh 2.51-2.75
Rh 0.0000 0.0000 0.0000  6 Si 2.75
Rh 0.2500 0.5000 0.7500  4 Si 2.51
Rh 0.2500 0.7500 0.5000  4 Si 2.51
Rh 0.5000 0.2500 0.7500  4 Si 2.51
Rh 0.5000 0.7500 0.2500  4 Si 2.51
Rh 0.7500 0.2500 0.5000  4 Si 2.51
Rh 0.7500 0.5000 0.2500  4 Si 2.51

[7]
Compound: FeSb2TeMo
Source: the Alexandria database
Functional: GGA-PBE
Structure: optimized geometry

offset from the most stable computed form	0	meV per atom
ΔE_f (raw)	0.949	eV/atom
Fermi-level density of states	4.5	states/eV/f.u.

a = 4.8422 Å, b = 4.8422 Å, c = 5.0760 Å
α = 90.00°, β = 90.00°, γ = 90.00°
Closest atoms and distances in Å follow each position.
Fractional positions:
Fe 0.0000 0.0000 0.0000  4 Sb 2.42, 2 Te 2.54
Sb 0.0000 0.5000 0.0000  2 Fe 2.42
Sb 0.5000 0.0000 0.0000  2 Fe 2.42
Te 0.0000 0.0000 0.5000  2 Fe 2.54
Mo 0.5000 0.5000 0.5000  4 Te 3.42, 8 Sb 3.51

[8]
Compound: CaPrNiPt
Source: the Alexandria database
Functional: GGA-PBE
Structure: optimized geometry

offset from the most stable computed form	73	meV per atom
Fermi-level density of states	2.1	states/eV/f.u.

a = 4.9872 Å, b = 4.9872 Å, c = 4.9872 Å
α = 60.00°, β = 60.00°, γ = 60.00°
Closest atoms and distances in Å follow each position.
Fractional positions:
Ca 0.0000 0.0000 0.0000  4 Ni 3.05, 4 Pt 3.05
Pr 0.5000 0.5000 0.5000  4 Ni 3.05, 4 Pt 3.05
Ni 0.7500 0.7500 0.7500  4 Pr 3.05, 4 Ca 3.05
Pt 0.2500 0.2500 0.2500  4 Pr 3.05, 4 Ca 3.05